# 1
Computed, not measured: TlSN2F after structural relaxation at the PBE level of DFT.

Summary:
* formation energy (no corrections): 1.63 eV per atom
* M_tot: 2.5 μB per formula unit
* VASP energy: -3.3763 eV per atom
* SG: P4/mmm, No. 123

Unit cell a=4.548 b=4.548 c=4.405 alpha=90.00 beta=90.00 gamma=90.00
Atoms (fractional coordinates):
Tl 0.000 0.000 0.000
S 0.500 0.500 0.500
N 0.000 0.500 0.000
N 0.500 0.000 0.000
F 0.000 0.000 0.500

---

# 2
Computed, not measured: Pm2SmHfAs4 after structural relaxation at the PBE level of DFT.

Summary:
* energy of formation from the pure elements: -1.381 eV/atom
* M_tot: 0.0 μB per formula unit
* VASP energy: -6.7271 eV per atom
* SG: P2/m, No. 10

Unit cell a=7.134 b=4.115 c=7.136 alpha=90.00 beta=109.23 gamma=90.00
Atoms (fractional coordinates):
Pm 0.000 0.000 0.000
Pm 0.500 0.500 0.000
Sm 0.000 0.500 0.500
Hf 0.500 0.000 0.500
As 0.259 0.000 0.739
As 0.268 0.500 0.269
As 0.732 0.500 0.731
As 0.741 0.000 0.261

---

# 3
Computed, not measured: NaSrHg2Rh after structural relaxation at the PBE level of DFT.

Summary:
* energy of formation from the pure elements: -0.119 eV/atom
* M_tot: 0.0 μB per formula unit
* VASP energy: -2.3100 eV per atom
* SG: P4/mmm, No. 123

Unit cell a=5.374 b=5.374 c=5.441 alpha=90.00 beta=90.00 gamma=90.00
Atoms (fractional coordinates):
Na 0.000 0.000 0.000
Sr 0.500 0.500 0.000
Hg 0.000 0.500 0.500
Hg 0.500 0.000 0.500
Rh 0.500 0.500 0.500

---

# 4
Computed, not measured: Sm2TlAs after structural relaxation at the PBE level of DFT.

Summary:
* energy of formation from the pure elements: -0.731 eV/atom
* M_tot: 0.0 μB per formula unit
* VASP energy: -4.8449 eV per atom
* SG: P4/mmm, No. 123

Unit cell a=3.858 b=3.858 c=7.035 alpha=90.00 beta=90.00 gamma=90.00
Atoms (fractional coordinates):
Sm 0.000 0.000 0.229
Sm 0.000 0.000 0.771
Tl 0.500 0.500 0.500
As 0.500 0.500 0.000

---

# 5
Computed, not measured: Li2NiAs after structural relaxation at the PBE level of DFT.

Summary:
* energy of formation from the pure elements: -0.252 eV/atom
* M_tot: 0.0 μB per formula unit
* VASP energy: -3.8162 eV per atom
* SG: Pmm2, No. 25

Unit cell a=2.774 b=3.607 c=5.574 alpha=90.00 beta=90.00 gamma=90.00
Atoms (fractional coordinates):
Li 0.000 0.000 0.000
Li 0.500 0.500 0.278
Ni 0.000 0.000 0.539
As 0.500 0.500 0.732

---

# 6
Computed, not measured: CsHgI4 after structural relaxation at the PBE level of DFT.

Summary:
* formation energy (no corrections): -0.62 eV per atom
* M_tot: 0.0 μB per formula unit
* VASP energy: -1.8456 eV per atom
* SG: P2_1/m, No. 11

Unit cell a=8.107 b=13.040 c=8.276 alpha=90.00 beta=105.22 gamma=90.00
Atoms (fractional coordinates):
Cs 0.064 0.250 0.312
Cs 0.936 0.750 0.688
Hg 0.283 0.750 0.211
Hg 0.717 0.250 0.789
I 0.059 0.250 0.798
I 0.408 0.750 0.936
I 0.487 0.621 0.497
I 0.487 0.879 0.497
I 0.513 0.121 0.503
I 0.513 0.379 0.503
I 0.592 0.250 0.064
I 0.941 0.750 0.202

---

# 7
Computed, not measured: BeH3Se after structural relaxation at the PBE level of DFT.

Summary:
* M_tot: 0.0 μB per formula unit
* VASP energy: -2.4169 eV per atom
* SG: Pm-3m, No. 221

Unit cell a=3.741 b=3.741 c=3.741 alpha=90.00 beta=90.00 gamma=90.00
Atoms (fractional coordinates):
Be 0.000 0.000 0.000
H 0.000 0.500 0.500
H 0.500 0.000 0.500
H 0.500 0.500 0.000
Se 0.500 0.500 0.500

---

# 8
Computed, not measured: SmHo5Sc4 after structural relaxation at the PBE level of DFT.

Summary:
* energy of formation from the pure elements: 0.288 eV/atom
* M_tot: 0.0 μB per formula unit
* VASP energy: -5.0053 eV per atom
* SG: Pmmn, No. 59

Unit cell a=10.076 b=11.150 c=5.375 alpha=90.00 beta=90.00 gamma=90.00
Atoms (fractional coordinates):
Sm 0.250 0.250 0.249
Sm 0.750 0.750 0.751
Ho 0.051 0.049 0.250
Ho 0.051 0.451 0.250
Ho 0.250 0.750 0.751
Ho 0.449 0.049 0.250
Ho 0.449 0.451 0.250
Ho 0.551 0.549 0.750
Ho 0.551 0.951 0.750
Ho 0.750 0.250 0.249
Ho 0.949 0.549 0.750
Ho 0.949 0.951 0.750
Sc 0.003 0.250 0.750
Sc 0.250 0.057 0.750
Sc 0.250 0.443 0.750
Sc 0.497 0.250 0.750
Sc 0.503 0.750 0.250
Sc 0.750 0.557 0.250
Sc 0.750 0.943 0.250
Sc 0.997 0.750 0.250

---

# 9
Computed, not measured: Li4Cu3F12 after structural relaxation at the PBE level of DFT.

Summary:
* formation energy (no corrections): -2.08 eV per atom
* M_tot: 1.0 μB per formula unit
* VASP energy: -4.3133 eV per atom
* SG: Im-3, No. 204

Unit cell a=6.536 b=6.536 c=6.536 alpha=109.47 beta=109.47 gamma=109.47
Atoms (fractional coordinates):
Li 0.000 0.000 0.500
Li 0.000 0.500 0.000
Li 0.500 0.000 0.000
Li 0.500 0.500 0.500
Cu 0.000 0.500 0.500
Cu 0.500 0.000 0.500
Cu 0.500 0.500 0.000
F 0.157 0.829 0.328
F 0.171 0.328 0.499
F 0.171 0.672 0.843
F 0.328 0.157 0.829
F 0.328 0.499 0.171
F 0.499 0.171 0.328
F 0.501 0.829 0.672
F 0.672 0.501 0.829
F 0.672 0.843 0.171
F 0.829 0.328 0.157
F 0.829 0.672 0.501
F 0.843 0.171 0.672

---

# 10
Computed, not measured: SrNiAs2 after structural relaxation at the PBE level of DFT.

Summary:
* energy of formation from the pure elements: -0.187 eV/atom
* M_tot: 0.0 μB per formula unit
* VASP energy: -4.3779 eV per atom
* SG: P4/mmm, No. 123

Unit cell a=3.445 b=3.445 c=6.749 alpha=90.00 beta=90.00 gamma=90.00
Atoms (fractional coordinates):
Sr 0.000 0.000 0.000
Ni 0.000 0.000 0.500
As 0.500 0.500 0.318
As 0.500 0.500 0.682

---

# 11
Computed, not measured: Tm4MgZnRu2 after structural relaxation at the PBE level of DFT.

Summary:
* energy of formation from the pure elements: -0.332 eV/atom
* M_tot: 0.0 μB per formula unit
* VASP energy: -5.2455 eV per atom
* SG: R-3m, No. 166

Unit cell a=8.499 b=8.499 c=8.499 alpha=33.49 beta=33.49 gamma=33.49
Atoms (fractional coordinates):
Tm 0.122 0.122 0.122
Tm 0.373 0.373 0.373
Tm 0.627 0.627 0.627
Tm 0.878 0.878 0.878
Mg 0.500 0.500 0.500
Zn 0.000 0.000 0.000
Ru 0.248 0.248 0.248
Ru 0.752 0.752 0.752

---

# 12
Computed, not measured: Zr4Zn3 after structural relaxation at the PBE level of DFT.

Summary:
* energy of formation from the pure elements: -0.228 eV/atom
* M_tot: 0.0 μB per formula unit
* VASP energy: -5.6587 eV per atom
* SG: P6/mmm, No. 191

Unit cell a=5.327 b=5.327 c=5.439 alpha=90.00 beta=90.00 gamma=120.00
Atoms (fractional coordinates):
Zr 0.000 0.000 0.244
Zr 0.000 0.000 0.756
Zr 0.333 0.667 0.000
Zr 0.667 0.333 0.000
Zn 0.000 0.500 0.500
Zn 0.500 0.000 0.500
Zn 0.500 0.500 0.500